Computed, not measured: a relaxed Cr3Pb2 crystal at the PBE level of DFT.

a b c (Å): 8.3498 7.4083 5.7517
angles (deg): 77.64 60.07 42.29
Positions (direct):
Cr 0.8123 0.4011 0.3163
Cr 0.4703 0.3163 0.4011
Cr 0.8489 0.4377 0.7797
Cr 0.9337 0.7797 0.4377
Cr 0.9494 0.0506 0.0506
Cr 0.1994 0.3006 0.3006
Pb 0.2512 0.8543 0.3776
Pb 0.5169 0.3776 0.8543
Pb 0.3957 0.9988 0.7331
Pb 0.8724 0.7331 0.9988

Space-group type = Fdd2
ΔH_f (0 K) = 58.5 kJ/mol of atoms
Energy above the most stable polymorph in this dataset = 0.000 eV per atom
Energy = -66.51 eV/cell